No. 1
! PBE-GGA Cd4AgSn, relaxed; values from VASP
&SYSTEM
  ibrav = 0, nat = 12, ntyp = 3
/
ATOMIC_SPECIES
Sn 118.71 Sn.upf
Cd 112.41 Cd.upf
Ag 107.87 Ag.upf
CELL_PARAMETERS angstrom
6.190 -0.865 0.021
-1.948 5.939 0.021
-2.089 -2.498 7.989
ATOMIC_POSITIONS crystal
Sn 0.876 0.124 0.250
Sn 0.124 0.876 0.750
Cd 0.303 0.535 0.566
Cd 0.535 0.303 0.066
Cd 0.033 0.764 0.066
Cd 0.967 0.236 0.934
Cd 0.764 0.033 0.566
Cd 0.697 0.465 0.434
Cd 0.236 0.967 0.434
Cd 0.465 0.697 0.934
Ag 0.625 0.375 0.750
Ag 0.375 0.625 0.250
! Energy above the most stable polymorph in this dataset, meV per atom: 0
! Volume, A^3/atom: 23.41
! Energy relative to the elements, meV per atom: 25
! Final energy, eV per atom: -1.7271
! Mass density, Mg/m³: 7.99

***

No. 2
! PBE-GGA CrSiMo2, relaxed; values from VASP
&SYSTEM
  ibrav = 0, nat = 4, ntyp = 3
/
ATOMIC_SPECIES
Si 28.09 Si.upf
Mo 95.94 Mo.upf
Cr 52.00 Cr.upf
CELL_PARAMETERS angstrom
-3.944 -2.062 2.479
-0.208 0.161 -4.899
0.339 -2.634 -0.587
ATOMIC_POSITIONS crystal
Si 0.000 0.500 0.500
Mo 0.000 0.000 0.000
Mo 0.500 0.000 0.500
Cr 0.500 0.500 0.000
! Volume, A^3/atom: 14.04
! Final energy, eV per atom: -9.1608
! Mass density, Mg/m³: 8.04

***

No. 3
! PBE-GGA MnAuSe2, relaxed; values from VASP
&SYSTEM
  ibrav = 0, nat = 8, ntyp = 3
/
ATOMIC_SPECIES
Se 78.96 Se.upf
Mn 54.94 Mn.upf
Au 196.97 Au.upf
CELL_PARAMETERS angstrom
-1.576 -5.081 -2.339
5.061 -2.924 -4.451
6.785 0.002 2.819
ATOMIC_POSITIONS crystal
Se 0.833 0.857 0.877
Se 0.333 0.623 0.643
Se 0.667 0.377 0.357
Se 0.167 0.143 0.123
Mn 0.250 0.756 0.256
Mn 0.750 0.244 0.744
Au 0.750 0.799 0.299
Au 0.250 0.201 0.701
! Volume, A^3/atom: 24.06
! Final energy, eV per atom: -5.0081
! Mass density, Mg/m³: 7.07

***

No. 4
! PBE-GGA CuSb2PtI, relaxed; values from VASP
&SYSTEM
  ibrav = 0, nat = 5, ntyp = 4
/
ATOMIC_SPECIES
I 126.90 I.upf
Sb 121.76 Sb.upf
Pt 195.08 Pt.upf
Cu 63.55 Cu.upf
CELL_PARAMETERS angstrom
5.232 0.000 0.000
0.000 5.232 0.000
0.000 0.000 5.627
ATOMIC_POSITIONS crystal
I 0.000 0.000 0.500
Sb 0.000 0.500 0.000
Sb 0.500 0.000 0.000
Pt 0.000 0.000 0.000
Cu 0.500 0.500 0.500
! Energy above the most stable polymorph in this dataset, meV per atom: 0
! Volume, A^3/atom: 30.81
! Final energy, eV per atom: -3.2926
! Mass density, Mg/m³: 6.78

***

No. 5
! PBE-GGA Cd3P, relaxed; values from VASP
&SYSTEM
  ibrav = 0, nat = 4, ntyp = 2
/
ATOMIC_SPECIES
P 30.97 P.upf
Cd 112.41 Cd.upf
CELL_PARAMETERS angstrom
-1.405 -2.366 1.544
2.097 -1.758 -1.572
5.619 0.898 6.489
ATOMIC_POSITIONS crystal
P 0.500 0.500 0.250
Cd 0.000 0.000 0.480
Cd 0.500 0.500 0.750
Cd 0.000 0.000 0.020
! Energy above the most stable polymorph in this dataset, meV per atom: 167
! Volume, A^3/atom: 21.33
! Energy relative to the elements, meV per atom: 257
! Final energy, eV per atom: -1.7814
! Mass density, Mg/m³: 7.17

***

No. 6
! PBE-GGA NdSmZnRh, relaxed; values from VASP
&SYSTEM
  ibrav = 0, nat = 4, ntyp = 4
/
ATOMIC_SPECIES
Zn 65.41 Zn.upf
Nd 144.24 Nd.upf
Rh 102.91 Rh.upf
Sm 150.36 Sm.upf
CELL_PARAMETERS angstrom
-3.951 2.289 -2.219
-4.683 -0.669 1.842
-2.371 3.821 2.356
ATOMIC_POSITIONS crystal
Zn 0.000 0.000 0.000
Nd 0.250 0.250 0.250
Rh 0.500 0.500 0.500
Sm 0.750 0.750 0.750
! Energy above the most stable polymorph in this dataset, meV per atom: 34
! Volume, A^3/atom: 23.13
! Energy relative to the elements, meV per atom: -494
! Final energy, eV per atom: -5.0223
! Mass density, Mg/m³: 8.31

***

No. 7
! PBE-GGA KTa2Rh, relaxed; values from VASP
&SYSTEM
  ibrav = 0, nat = 4, ntyp = 3
/
ATOMIC_SPECIES
K 39.10 K.upf
Rh 102.91 Rh.upf
Ta 180.95 Ta.upf
CELL_PARAMETERS angstrom
5.732 -0.004 0.000
2.997 4.886 0.000
-4.365 -2.441 2.801
ATOMIC_POSITIONS crystal
K 0.250 0.750 0.500
Rh 0.750 0.250 0.500
Ta 0.500 0.500 0.000
Ta 0.000 0.000 0.000
! Energy above the most stable polymorph in this dataset, meV per atom: 923
! Volume, A^3/atom: 19.62
! Energy relative to the elements, meV per atom: 1220
! Final energy, eV per atom: -6.8189
! Mass density, Mg/m³: 10.66

***

The records above yield size of the total moment values of 0.00 0.00 2.24 0.81 0.00 0.00 0.00 μB per formula unit, respectively.